A plane-wave DFT calculation with GGA+U was carried out for crystalline Ag2MoPb2O6 at its relaxed geometry.

Lattice parameters (Å, degrees): 6.049 10.965 6.412 90.00 96.27 90.00
Space group C2/m (No. 12)
Symmetry-distinct sites (fractional):
Ag1 0.000 0.137 0.000 (multiplicity 4)
Mo1 0.000 0.000 0.500 (multiplicity 2)
Pb1 0.000 0.337 0.500 (multiplicity 4)
O1 0.106 0.132 0.322 (multiplicity 8)
O2 0.207 0.500 0.347 (multiplicity 4)

Calculated volume in Å³/cell: 422.7
Raw total energy in eV/atom: -5.51